## Sr2MnSn4Pd3 (PBE-GGA)

Data for a geometry-optimized Sr2MnSn4Pd3 structure.

Summary:
* total energy: -4.9877 eV per atom
* DOS(E_F): 0.4964 states/eV per atom
* total magnetic moment: 3.451 μB per formula unit
* SG: No. 115
* energy relative to the elements: -0.575 eV/atom

Unit cell a=4.6091 b=4.6091 c=11.2214 alpha=90.00 beta=90.00 gamma=90.00
Atoms (fractional coordinates):
Sr 0.0000 0.5000 0.2458
Sr 0.5000 0.0000 0.7542
Mn 0.5000 0.5000 0.0000
Sn 0.0000 0.0000 0.5000
Sn 0.0000 0.5000 0.8726
Sn 0.5000 0.0000 0.1274
Sn 0.5000 0.5000 0.5000
Pd 0.0000 0.0000 0.0000
Pd 0.0000 0.5000 0.6313
Pd 0.5000 0.0000 0.3687